1.
The following is a PBE calculation of an optimized crystal structure of La3Ir7Pd2, from Alexandria via LeMat-Bulk.

abc: 5.3928 5.3928 26.9094
angles: 90.00 90.00 120.00
Space group R-3m (No. 166, hexagonal axes)
Unique sites:
La (0.0000, 0.0000, 0.0000) x3
La (0.0000, 0.0000, 0.1402) x6
Ir (0.0000, 0.0000, 0.5000) x3
Ir (0.0014, 0.5007, 0.9168) x18
Pd (0.0000, 0.0000, 0.3329) x6

* theoretical density: 14517 kg/m³
* calculated formation energy: -0.58 eV per atom
* VASP energy: -7.847 eV per atom

2.
The following is a PBE calculation of an optimized crystal structure of LaPmIrPd, from Alexandria via LeMat-Bulk.

abc: 4.556 3.910 10.811
angles: 90.00 90.00 90.00
Space group Amm2 (No. 38)
Unique sites:
La (0.000, 0.000, 0.000) x2
Pm (0.500, 0.000, 0.276) x2
Ir (0.000, 0.000, 0.731) x2
Pd (0.500, 0.000, 0.556) x2

* theoretical density: 10046 kg/m³
* calculated formation energy: -0.77 eV per atom
* VASP energy: -6.705 eV per atom
* relative energy among the computed polymorphs: 0.000 eV per atom

What is the theoretical density in the second record? 10046 kg/m³